First-principles (PBE) data for an optimized crystal structure of PmSmDyY, as listed in the Alexandria database. Values from VASP.

Its space-group type is I-4m2, No. 119. The value obtained for the density is 6.9 g/cm3. Its total magnetization is 0.0000 μB/atom. The calculation puts the final energy at -5.12 eV/atom. The value obtained for the energy relative to the lowest polymorph listed for this composition is 0 meV per atom.

Cell and atoms, written as Quantum ESPRESSO input:
```
&SYSTEM
  ibrav = 0, nat = 8, ntyp = 4
/
ATOMIC_SPECIES
Pm 145.00 Pm.upf
Sm 150.36 Sm.upf
Dy 162.50 Dy.upf
Y 88.91 Y.upf
CELL_PARAMETERS angstrom
5.0973 0.0000 0.0000
0.0000 5.0973 0.0000
0.0000 0.0000 10.1466
ATOMIC_POSITIONS crystal
Pm 0.0000 0.0000 0.0000
Pm 0.5000 0.5000 0.5000
Sm 0.0000 0.5000 0.7500
Sm 0.5000 0.0000 0.2500
Dy 0.0000 0.5000 0.2500
Dy 0.5000 0.0000 0.7500
Y 0.0000 0.0000 0.5000
Y 0.5000 0.5000 0.0000
```